--- 1 ---
{"formula": "Rb3SrAu", "functional": "PBE", "state": "relaxed", "spacegroup": "No. 221", "dos_at_fermi_per_ev_cell": 4.9, "lattice": [[6.8655, 0.0000, 0.0000], [0.0000, 6.8655, 0.0000], [0.0000, 0.0000, 6.8655]], "species": ["Rb", "Rb", "Rb", "Sr", "Au"], "frac_coords": [[0.0000, 0.0000, 0.5000], [0.0000, 0.5000, 0.0000], [0.5000, 0.0000, 0.0000], [0.5000, 0.5000, 0.5000], [0.0000, 0.0000, 0.0000]]}

---

--- 2 ---
{"formula": "Rb3SrAu", "functional": "PBE", "state": "relaxed", "spacegroup": "No. 221", "dos_at_fermi_per_ev_cell": 5.8, "lattice": [[8.1501, 0.0000, 0.0000], [0.0000, 8.1501, 0.0000], [0.0000, 0.0000, 8.1501]], "species": ["Rb", "Rb", "Rb", "Sr", "Au"], "frac_coords": [[0.0000, 0.0000, 0.5000], [0.0000, 0.5000, 0.0000], [0.5000, 0.0000, 0.0000], [0.0000, 0.0000, 0.0000], [0.5000, 0.5000, 0.5000]]}

---

Most stable: 1